First-principles (GGA+U) data for a relaxed Nb2MoClO crystal, as listed in Alexandria.

Geometry as extended XYZ:
```
5
Lattice="4.2939 0.0000 0.0000 0.0000 4.2939 0.0000 0.0000 0.0000 4.2853" Properties=species:S:1:pos:R:3 pbc="T T T"
Nb 0.0000 2.1469 0.0000
Nb 2.1469 0.0000 0.0000
Mo 0.0000 0.0000 2.1426
Cl 2.1469 2.1469 2.1426
O 0.0000 0.0000 0.0000
```

Calculated values
polymorph energy (0 for the lowest one) = 0.000 eV/atom
DFT total energy = -6.55 eV per atom
theoretical density = 7.00 g/cm3